1.
ReSnRh3 | PBE | relaxed

Cell lengths 4.736, 4.736, 4.736 Å; angles 90.00, 90.00, 90.00 degrees
Space group Pm-3m (No. 221)
Asymmetric unit:
Re 0.000 0.000 0.000 x1
Sn 0.500 0.500 0.500 x1
Rh 0.000 0.000 0.500 x3


2.
ReSn3Rh | PBE | relaxed

Cell lengths 5.045, 5.045, 5.045 Å; angles 90.00, 90.00, 90.00 degrees
Space group Pm-3m (No. 221)
Asymmetric unit:
Re 0.000 0.000 0.000 x1
Sn 0.000 0.500 0.500 x3
Rh 0.500 0.500 0.500 x1


3.
TiReSnRh | PBE | relaxed

Cell lengths 6.356, 6.356, 6.356 Å; angles 90.00, 90.00, 90.00 degrees
Space group F-43m (No. 216)
Asymmetric unit:
Ti 0.000 0.000 0.000 x4
Re 0.250 0.250 0.250 x4
Sn 0.000 0.000 0.500 x4
Rh 0.250 0.250 0.750 x4


4.
YRe2SnRh | PBE | relaxed

Cell lengths 4.821, 4.821, 5.372 Å; angles 90.00, 90.00, 90.00 degrees
Space group P4/mmm (No. 123)
Asymmetric unit:
Y 0.000 0.000 0.000 x1
Re 0.000 0.500 0.500 x2
Sn 0.000 0.000 0.500 x1
Rh 0.500 0.500 0.000 x1


5.
Zr2ReSnRh | PBE | relaxed

Cell lengths 4.976, 4.976, 4.746 Å; angles 90.00, 90.00, 90.00 degrees
Space group P4/mmm (No. 123)
Asymmetric unit:
Zr 0.000 0.500 0.000 x2
Re 0.000 0.000 0.500 x1
Sn 0.500 0.500 0.500 x1
Rh 0.000 0.000 0.000 x1


6.
SrReRh | PBE | relaxed

Cell lengths 5.100, 5.908, 7.931 Å; angles 90.00, 90.00, 90.00 degrees
Space group Imma (No. 74)
Asymmetric unit:
Sr 0.000 0.250 0.126 x4
Re 0.250 0.250 0.750 x4
Rh 0.000 0.000 0.500 x4


7.
SrReRh | PBE | relaxed

Cell lengths 5.373, 4.189, 6.208 Å; angles 90.00, 100.29, 90.00 degrees
Space group Pm (No. 6)
Asymmetric unit:
Sr 0.000 0.000 0.000 x1
Sr 0.473 0.500 0.827 x1
Re 0.139 0.000 0.501 x1
Re 0.882 0.500 0.399 x1
Rh 0.361 0.500 0.322 x1
Rh 0.640 0.000 0.502 x1


8.
SrReRh | PBE | relaxed

Cell lengths 3.072, 3.072, 12.961 Å; angles 90.00, 90.00, 90.00 degrees
Space group I4mm (No. 107)
Asymmetric unit:
Sr 0.000 0.000 0.000 x2
Re 0.000 0.000 0.303 x2
Rh 0.000 0.000 0.697 x2


9.
SrReRh | PBE | relaxed

Cell lengths 5.223, 4.324, 6.110 Å; angles 90.00, 101.44, 90.00 degrees
Space group P2_1/m (No. 11)
Asymmetric unit:
Sr 0.234 0.250 0.404 x2
Re 0.384 0.750 0.021 x2
Rh 0.084 0.250 0.887 x2


10.
SrRe2Rh | PBE | relaxed

Cell lengths 2.856, 3.785, 7.217 Å; angles 90.00, 90.00, 90.00 degrees
Space group Pmm2 (No. 25)
Asymmetric unit:
Sr 0.000 0.000 0.000 x1
Re 0.000 0.000 0.499 x1
Re 0.500 0.500 0.340 x1
Rh 0.500 0.500 0.702 x1


11.
SrReRh | PBE | relaxed

Cell lengths 4.545, 11.272, 5.179 Å; angles 90.00, 90.00, 90.00 degrees
Space group Amm2 (No. 38)
Asymmetric unit:
Sr 0.000 0.000 0.000 x2
Sr 0.500 0.000 0.483 x2
Re 0.000 0.235 0.642 x4
Rh 0.500 0.216 0.928 x4


12.
SrReRh | PBE | relaxed

Cell lengths 2.875, 3.896, 11.379 Å; angles 90.00, 90.00, 90.00 degrees
Space group Imm2 (No. 44)
Asymmetric unit:
Sr 0.000 0.000 0.000 x2
Re 0.000 0.000 0.287 x2
Rh 0.000 0.000 0.710 x2


13.
SrReRh | PBE | relaxed

Cell lengths 6.634, 6.634, 6.634 Å; angles 90.00, 90.00, 90.00 degrees
Space group F-43m (No. 216)
Asymmetric unit:
Sr 0.000 0.000 0.000 x4
Re 0.250 0.250 0.250 x4
Rh 0.250 0.250 0.750 x4


14.
SrReRh | PBE | relaxed

Cell lengths 4.465, 11.379, 5.172 Å; angles 90.00, 90.00, 90.00 degrees
Space group Cmcm (No. 63)
Asymmetric unit:
Sr 0.000 0.215 0.250 x4
Re 0.000 0.500 0.000 x4
Rh 0.000 0.049 0.750 x4


15.
SrReRh | PBE | relaxed

Cell lengths 3.969, 4.756, 9.532 Å; angles 77.89, 89.70, 65.36 degrees
Space group P1 (No. 1)
Asymmetric unit:
Sr 0.000 0.000 0.000 x1
Sr 0.363 0.288 0.370 x1
Re 0.333 0.340 0.716 x1
Re 0.713 0.583 0.586 x1
Rh 0.017 0.975 0.650 x1
Rh 0.657 0.689 0.838 x1


16.
SrReRh | PBE | relaxed

Cell lengths 11.260, 4.431, 5.294 Å; angles 90.00, 90.90, 90.00 degrees
Space group Cm (No. 8)
Asymmetric unit:
Sr 0.000 0.000 0.000 x2
Sr 0.051 0.500 0.500 x2
Re 0.280 0.000 0.756 x2
Re 0.314 0.500 0.498 x2
Rh 0.234 0.500 0.995 x2
Rh 0.278 0.000 0.252 x2


17.
SrRe2Rh | PBE | relaxed

Cell lengths 2.753, 2.753, 9.322 Å; angles 90.00, 90.00, 90.00 degrees
Space group P4/mmm (No. 123)
Asymmetric unit:
Sr 0.000 0.000 0.000 x1
Re 0.500 0.500 0.291 x2
Rh 0.000 0.000 0.500 x1


18.
SrRe2Rh | PBE | relaxed

Cell lengths 3.327, 3.327, 7.345 Å; angles 90.00, 90.00, 90.00 degrees
Space group P4/mmm (No. 123)
Asymmetric unit:
Sr 0.000 0.000 0.000 x1
Re 0.500 0.500 0.335 x2
Rh 0.000 0.000 0.500 x1


19.
SrReRh | PBE | relaxed

Cell lengths 7.642, 4.460, 7.556 Å; angles 90.00, 90.00, 90.00 degrees
Space group Pnma (No. 62)
Asymmetric unit:
Sr 0.002 0.250 0.172 x4
Re 0.154 0.250 0.578 x4
Rh 0.168 0.750 0.413 x4


20.
SrRe2Rh | PBE | relaxed

Cell lengths 3.842, 3.842, 9.987 Å; angles 90.00, 90.00, 90.00 degrees
Space group I4/mmm (No. 139)
Asymmetric unit:
Sr 0.000 0.000 0.000 x2
Re 0.000 0.500 0.250 x4
Rh 0.000 0.000 0.500 x2


21.
SrReRh | PBE | relaxed

Cell lengths 7.410, 4.279, 10.550 Å; angles 90.00, 103.76, 90.00 degrees
Space group Cm (No. 8)
Asymmetric unit:
Sr 0.000 0.000 0.000 x2
Sr 0.211 0.000 0.623 x2
Re 0.106 0.000 0.311 x2
Re 0.272 0.500 0.311 x2
Rh 0.394 0.000 0.179 x2
Rh 0.484 0.000 0.444 x2


22.
SrRe2Rh | PBE | relaxed

Cell lengths 6.531, 6.531, 6.531 Å; angles 90.00, 90.00, 90.00 degrees
Space group Fm-3m (No. 225)
Asymmetric unit:
Sr 0.000 0.000 0.000 x4
Re 0.250 0.250 0.250 x8
Rh 0.000 0.000 0.500 x4


23.
SrReRh | PBE | relaxed

Cell lengths 8.650, 3.980, 9.350 Å; angles 90.00, 100.74, 90.00 degrees
Space group Cm (No. 8)
Asymmetric unit:
Sr 0.000 0.000 0.000 x2
Sr 0.142 0.500 0.635 x2
Re 0.183 0.000 0.348 x2
Re 0.245 0.500 0.218 x2
Rh 0.414 0.500 0.473 x2
Rh 0.471 0.000 0.284 x2


24.
SrReRh | PBE | relaxed

Cell lengths 4.1688, 4.1688, 9.9929 Å; angles 90.00, 90.00, 120.00 degrees
Space group P6_3/mmc (No. 194)
Asymmetric unit:
Sr 0.0000 0.0000 0.0000 x2
Re 0.3333 0.6667 0.2500 x2
Rh 0.3333 0.6667 0.7500 x2


25.
SrRe2Rh | PBE | relaxed

Cell lengths 5.335, 9.784, 2.741 Å; angles 90.00, 90.00, 90.00 degrees
Space group Cmmm (No. 65)
Asymmetric unit:
Sr 0.000 0.000 0.000 x2
Re 0.250 0.250 0.500 x4
Rh 0.000 0.500 0.000 x2


26.
SrReRh3 | PBE | relaxed

Cell lengths 4.798, 4.798, 4.798 Å; angles 90.00, 90.00, 90.00 degrees
Space group Pm-3m (No. 221)
Asymmetric unit:
Sr 0.000 0.000 0.000 x1
Re 0.500 0.500 0.500 x1
Rh 0.000 0.500 0.500 x3


27.
SrRe2Rh | PBE | relaxed

Cell lengths 2.872, 4.737, 5.267 Å; angles 90.00, 90.00, 90.00 degrees
Space group Pmmm (No. 47)
Asymmetric unit:
Sr 0.000 0.000 0.000 x1
Re 0.000 0.500 0.500 x1
Re 0.500 0.000 0.500 x1
Rh 0.500 0.500 0.000 x1


28.
SrRe2Rh | PBE | relaxed

Cell lengths 5.077, 5.077, 2.783 Å; angles 90.00, 90.00, 90.00 degrees
Space group P4/mmm (No. 123)
Asymmetric unit:
Sr 0.000 0.000 0.000 x1
Re 0.000 0.500 0.500 x2
Rh 0.500 0.500 0.000 x1


| no. | ΔE_f (eV per atom) |
| --- | --- |
| 1 | 0.955 |
| 2 | 1.025 |
| 3 | -0.360 |
| 4 | 2.087 |
| 5 | 0.550 |
| 6 | 0.152 |
| 7 | 0.196 |
| 8 | 0.420 |
| 9 | 0.144 |
| 10 | 0.446 |
| 11 | 0.217 |
| 12 | 0.379 |
| 13 | 2.031 |
| 14 | 0.099 |
| 15 | 0.249 |
| 16 | 0.165 |
| 17 | 0.675 |
| 18 | 0.814 |
| 19 | 0.345 |
| 20 | 0.952 |
| 21 | 0.119 |
| 22 | 1.325 |
| 23 | 0.244 |
| 24 | 0.378 |
| 25 | 0.939 |
| 26 | 0.420 |
| 27 | 0.801 |
| 28 | 1.282 |